The following is a GGA-PBE calculation of an optimized crystal structure of NaCdAgGe, from Alexandria.

It has space group F-43m (No. 216), with a = 6.8755 Å, b = 6.8755 Å, c = 6.8755 Å, α = 90.00°, β = 90.00° and γ = 90.00°. The asymmetric unit holds Na at (0.0000, 0.0000, 0.0000), Cd at (0.2500, 0.2500, 0.2500), Ag at (0.2500, 0.2500, 0.7500) and Ge at (0.0000, 0.0000, 0.5000).

The calculation puts the calculated volume at 81 Å³/f.u. The calculation puts the calculated formation energy at 0.0300 eV per atom. For the final energy, the calculation gives -38.33 eV for the cell shown.



The following is a GGA-PBE calculation of an optimized crystal structure of KRbNa2Au, from Alexandria.

It has space group P4/mmm (No. 123), with a = 5.9756 Å, b = 5.9756 Å, c = 6.4101 Å, α = 90.00°, β = 90.00° and γ = 90.00°. The asymmetric unit holds K at (0.0000, 0.0000, 0.0000), Rb at (0.5000, 0.5000, 0.0000), Na at (0.0000, 0.5000, 0.5000) and Au at (0.0000, 0.0000, 0.5000).

The calculation puts the calculated volume at 229 Å³/f.u. The distance to the lowest polymorph of the same formula is 0.00 eV per formula unit. The calculation puts the calculated formation energy at -0.0997 eV per atom. For the final energy, the calculation gives -8.48 eV for the cell shown.



The following is a GGA-PBE calculation of an optimized crystal structure of NaTl2PdPb, from Alexandria.

It has space group P4/mmm (No. 123), with a = 5.2890 Å, b = 5.2890 Å, c = 5.3249 Å, α = 90.00°, β = 90.00° and γ = 90.00°. The asymmetric unit holds Na at (0.0000, 0.0000, 0.0000), Tl at (0.0000, 0.5000, 0.5000), Pd at (0.0000, 0.0000, 0.5000) and Pb at (0.5000, 0.5000, 0.0000).

The calculation puts the calculated volume at 149 Å³/f.u. The distance to the lowest polymorph of the same formula is 0.18 eV per formula unit. The calculation puts the calculated formation energy at 0.0268 eV per atom. For the final energy, the calculation gives -14.82 eV for the cell shown.



The following is a GGA-PBE calculation of an optimized crystal structure of Nd2YSn9, from Alexandria.

It has space group P4/mmm (No. 123), with a = 4.8258 Å, b = 4.8258 Å, c = 13.8752 Å, α = 90.00°, β = 90.00° and γ = 90.00°. The asymmetric unit holds Nd at (0.0000, 0.0000, 0.1680), Y at (0.0000, 0.0000, 0.5000), Sn at (0.0000, 0.5000, 0.0000), Sn at (0.0000, 0.5000, 0.3368), Sn at (0.5000, 0.5000, 0.1683) and Sn at (0.5000, 0.5000, 0.5000).

The calculation puts the calculated volume at 323 Å³/f.u. The calculation puts the calculated formation energy at -0.4745 eV per atom. For the final energy, the calculation gives -57.72 eV for the cell shown.



The following is a GGA-PBE calculation of an optimized crystal structure of TbGa4Au, from Alexandria.

It has space group F-43m (No. 216), with a = 7.7646 Å, b = 7.7646 Å, c = 7.7646 Å, α = 90.00°, β = 90.00° and γ = 90.00°. The asymmetric unit holds Tb at (0.0000, 0.0000, 0.0000), Ga at (0.1252, 0.1252, 0.6252) and Au at (0.2500, 0.2500, 0.2500).

The calculation puts the calculated volume at 117 Å³/f.u. The calculation puts the calculated formation energy at -0.2461 eV per atom. For the final energy, the calculation gives -85.97 eV for the cell shown.



The following is a GGA-PBE calculation of an optimized crystal structure of ErMgGe2Pd5, from Alexandria.

It has space group P4/mmm (No. 123), with a = 4.1712 Å, b = 4.1712 Å, c = 8.8524 Å, α = 90.00°, β = 90.00° and γ = 90.00°. The asymmetric unit holds Er at (0.0000, 0.0000, 0.0000), Mg at (0.0000, 0.0000, 0.5000), Ge at (0.5000, 0.5000, 0.1375), Pd at (0.0000, 0.5000, 0.2840) and Pd at (0.5000, 0.5000, 0.5000).

The calculation puts the calculated volume at 154 Å³/f.u. The calculation puts the calculated formation energy at -0.7003 eV per atom. For the final energy, the calculation gives -47.66 eV for the cell shown.



The following is a GGA-PBE calculation of an optimized crystal structure of TmHgPd6, from Alexandria.

It has space group P4/mmm (No. 123), with a = 5.7259 Å, b = 5.7259 Å, c = 4.1305 Å, α = 90.00°, β = 90.00° and γ = 90.00°. The asymmetric unit holds Tm at (0.0000, 0.0000, 0.0000), Hg at (0.5000, 0.5000, 0.0000), Pd at (0.0000, 0.5000, 0.0000) and Pd at (0.2511, 0.2511, 0.5000).

The calculation puts the calculated volume at 135 Å³/f.u. The distance to the lowest polymorph of the same formula is 0.00 eV per formula unit. The calculation puts the calculated formation energy at -0.5151 eV per atom. For the final energy, the calculation gives -40.05 eV for the cell shown.



The following is a GGA-PBE calculation of an optimized crystal structure of Ca6NiHg2, from Alexandria.

It has space group P2_1/c (No. 14), with a = 6.8724 Å, b = 8.1807 Å, c = 12.3845 Å, α = 90.00°, β = 123.38° and γ = 90.00°. The asymmetric unit holds Ca at (0.0924, 0.1904, 0.4430), Ca at (0.2835, 0.6705, 0.4440), Ca at (0.3757, 0.0287, 0.2512), Ni at (0.0000, 0.0000, 0.0000) and Hg at (0.1830, 0.1154, 0.7445).

The calculation puts the calculated volume at 291 Å³/f.u. The calculation puts the calculated formation energy at -0.2761 eV per atom. For the final energy, the calculation gives -41.76 eV for the cell shown.



The following is a GGA-PBE calculation of an optimized crystal structure of CaYIr3, from Alexandria.

It has space group Pm-3m (No. 221), with a = 5.0409 Å, b = 5.0409 Å, c = 5.0409 Å, α = 90.00°, β = 90.00° and γ = 90.00°. The asymmetric unit holds Ca at (0.0000, 0.0000, 0.0000), Y at (0.5000, 0.5000, 0.5000) and Ir at (0.0000, 0.5000, 0.5000).

The calculation puts the calculated volume at 128 Å³/f.u. The distance to the lowest polymorph of the same formula is 0.00 eV per formula unit. The calculation puts the calculated formation energy at 1.1472 eV per atom. For the final energy, the calculation gives -29.31 eV for the cell shown.



The following is a GGA-PBE calculation of an optimized crystal structure of PmNd6Dy3Er2, from Alexandria.

It has space group C2/m (No. 12), with a = 6.2770 Å, b = 10.8702 Å, c = 11.8882 Å, α = 90.00°, β = 100.10° and γ = 90.00°. The asymmetric unit holds Pm at (0.0000, 0.0000, 0.0000), Nd at (0.2492, 0.3330, 0.7495), Nd at (0.2500, 0.0000, 0.7497), Dy at (0.0000, 0.1668, 0.5000), Dy at (0.0000, 0.5000, 0.5000) and Er at (0.0000, 0.3334, 0.0000).

The calculation puts the calculated volume at 399 Å³/f.u. The calculation puts the calculated formation energy at 0.0125 eV per atom. For the final energy, the calculation gives -112.28 eV for the cell shown.



The following is a GGA-PBE calculation of an optimized crystal structure of TcMo6W3, from Alexandria.

It has space group P2_1/m (No. 11), with a = 7.7603 Å, b = 4.4708 Å, c = 9.4737 Å, α = 90.00°, β = 105.72° and γ = 90.00°. The asymmetric unit holds Tc at (0.0486, 0.2500, 0.4028), Mo at (0.0501, 0.7500, 0.9000), Mo at (0.1486, 0.7500, 0.2030), Mo at (0.1509, 0.2500, 0.7005), Mo at (0.2508, 0.7500, 0.5001), Mo at (0.3502, 0.2500, 0.3002), Mo at (0.4499, 0.7500, 0.1002), W at (0.2493, 0.2500, 0.0005), W at (0.3482, 0.7500, 0.7988) and W at (0.4488, 0.2500, 0.5994).

The calculation puts the calculated volume at 158 Å³/f.u. The calculation puts the calculated formation energy at 0.0034 eV per atom. For the final energy, the calculation gives -228.36 eV for the cell shown.



The following is a GGA-PBE calculation of an optimized crystal structure of NaReMoAu2, from Alexandria.

It has space group P4/mmm (No. 123), with a = 5.0125 Å, b = 5.0125 Å, c = 5.2250 Å, α = 90.00°, β = 90.00° and γ = 90.00°. The asymmetric unit holds Na at (0.0000, 0.0000, 0.0000), Re at (0.5000, 0.5000, 0.0000), Mo at (0.0000, 0.0000, 0.5000) and Au at (0.0000, 0.5000, 0.5000).

The calculation puts the calculated volume at 131 Å³/f.u. The calculation puts the calculated formation energy at 2.1864 eV per atom. For the final energy, the calculation gives -20.22 eV for the cell shown.



The following is a GGA-PBE calculation of an optimized crystal structure of Th2Al3Si4, from Alexandria.

It has space group Cmce (No. 64), with a = 5.8505 Å, b = 15.1354 Å, c = 7.7646 Å, α = 90.00°, β = 90.00° and γ = 90.00°. The asymmetric unit holds Th at (0.0000, 0.1119, 0.0848), Al at (0.0000, 0.0000, 0.5000), Al at (0.2500, 0.2135, 0.7500), Si at (0.0000, 0.1859, 0.4531) and Si at (0.2500, 0.0468, 0.7500).

The calculation puts the calculated volume at 172 Å³/f.u. The formation energy without anion corrections comes out at -0.383 eV/atom. For the final energy, the calculation gives -204.81 eV for the cell shown.



The following is a GGA-PBE calculation of an optimized crystal structure of NdSm12Y6, from Alexandria.

It has space group R-3 (No. 148, hexagonal axes), with a = 12.1459 Å, b = 12.1459 Å, c = 15.2329 Å, α = 90.00°, β = 90.00° and γ = 120.00°. The asymmetric unit holds Nd at (0.0000, 0.0000, 0.0000), Sm at (0.0094, 0.8331, 0.1924), Sm at (0.0449, 0.8505, 0.4169) and Y at (0.0116, 0.4245, 0.6844).

The calculation puts the calculated volume at 649 Å³/f.u. The distance to the lowest polymorph of the same formula is 0.00 eV per formula unit. The calculation puts the calculated formation energy at 0.1415 eV per atom. For the final energy, the calculation gives -292.48 eV for the cell shown.



The following is a GGA-PBE calculation of an optimized crystal structure of BeAsPd, from Alexandria.

It has space group F-43m (No. 216), with a = 5.7352 Å, b = 5.7352 Å, c = 5.7352 Å, α = 90.00°, β = 90.00° and γ = 90.00°. The asymmetric unit holds Be at (0.0000, 0.0000, 0.0000), As at (0.0000, 0.0000, 0.5000) and Pd at (0.2500, 0.2500, 0.2500).

The calculation puts the calculated volume at 47 Å³/f.u. The distance to the lowest polymorph of the same formula is 0.00 eV per formula unit. The calculation puts the calculated formation energy at -0.1667 eV per atom. For the final energy, the calculation gives -56.27 eV for the cell shown.



The following is a GGA-PBE calculation of an optimized crystal structure of RbUSb2Pd2, from Alexandria.

It has space group P-3m1 (No. 164), with a = 4.7530 Å, b = 4.7530 Å, c = 8.7041 Å, α = 90.00°, β = 90.00° and γ = 120.00°. The asymmetric unit holds Rb at (0.0000, 0.0000, 0.0000), U at (0.0000, 0.0000, 0.5000), Sb at (0.3333, 0.6667, 0.6927) and Pd at (0.3333, 0.6667, 0.3512).

The calculation puts the calculated volume at 170 Å³/f.u. The formation energy without anion corrections comes out at -0.497 eV/atom. For the final energy, the calculation gives -33.87 eV for the cell shown.



The following is a GGA-PBE calculation of an optimized crystal structure of PaCuAuO6, from Alexandria.

It has space group P312 (No. 149), with a = 5.2716 Å, b = 5.2716 Å, c = 4.7240 Å, α = 90.00°, β = 90.00° and γ = 120.00°. The asymmetric unit holds Pa at (0.0000, 0.0000, 0.0000), Cu at (0.3333, 0.6667, 0.5000), Au at (0.6667, 0.3333, 0.5000) and O at (0.3453, 0.0031, 0.7362).

The calculation puts the calculated volume at 114 Å³/f.u. The formation energy without anion corrections comes out at -1.337 eV/atom. For the final energy, the calculation gives -58.65 eV for the cell shown.



The following is a GGA-PBE calculation of an optimized crystal structure of Cs4Ac3NdSe8, from Alexandria.

It has space group R-3m (No. 166, hexagonal axes), with a = 9.1665 Å, b = 9.1665 Å, c = 25.2833 Å, α = 90.00°, β = 90.00° and γ = 120.00°. The asymmetric unit holds Cs at (0.0000, 0.0000, 0.0000), Cs at (0.0000, 0.5000, 0.0000), Ac at (0.0000, 0.5000, 0.5000), Nd at (0.0000, 0.0000, 0.5000), Se at (0.0000, 0.0000, 0.2327) and Se at (0.0100, 0.5050, 0.2312).

The calculation puts the calculated volume at 613 Å³/f.u. The formation energy without anion corrections comes out at -1.783 eV/atom. For the final energy, the calculation gives -230.74 eV for the cell shown.



The following is a GGA-PBE calculation of an optimized crystal structure of LiTb2Bi, from Alexandria.

It has space group R-3m (No. 166, hexagonal axes), with a = 3.4801 Å, b = 3.4801 Å, c = 34.8102 Å, α = 90.00°, β = 90.00° and γ = 120.00°. The asymmetric unit holds Li at (0.0000, 0.0000, 0.0000), Tb at (0.0000, 0.0000, 0.4096) and Bi at (0.0000, 0.0000, 0.5000).

The calculation puts the calculated volume at 122 Å³/f.u. The distance to the lowest polymorph of the same formula is 2.01 eV per formula unit. The calculation puts the calculated formation energy at 0.1134 eV per atom. For the final energy, the calculation gives -43.80 eV for the cell shown.



The following is a GGA-PBE calculation of an optimized crystal structure of PrTm2Sn2, from Alexandria.

It has space group P2_1/m (No. 11), with a = 5.6277 Å, b = 4.0614 Å, c = 13.1726 Å, α = 90.00°, β = 96.90° and γ = 90.00°. The asymmetric unit holds Pr at (0.1957, 0.2500, 0.2482), Tm at (0.2460, 0.7500, 0.4726), Tm at (0.3289, 0.2500, 0.8907), Sn at (0.1675, 0.7500, 0.0465) and Sn at (0.2856, 0.2500, 0.6600).

The calculation puts the calculated volume at 149 Å³/f.u. The calculation puts the calculated formation energy at -0.4287 eV per atom. For the final energy, the calculation gives -47.74 eV for the cell shown.



The following is a GGA-PBE calculation of an optimized crystal structure of Ce2SmDy3N6, from Alexandria.

It has space group C2/m (No. 12), with a = 6.0983 Å, b = 10.5655 Å, c = 6.0970 Å, α = 90.00°, β = 109.47° and γ = 90.00°. The asymmetric unit holds Ce at (0.0000, 0.1668, 0.0000), Sm at (0.0000, 0.5000, 0.0000), Dy at (0.0000, 0.0000, 0.5000), Dy at (0.0000, 0.3334, 0.5000), N at (0.2449, 0.0000, 0.2537) and N at (0.2462, 0.1700, 0.7484).

The calculation puts the calculated volume at 185 Å³/f.u. The formation energy without anion corrections comes out at -1.601 eV/atom. For the final energy, the calculation gives -199.12 eV for the cell shown.



The following is a GGA-PBE calculation of an optimized crystal structure of KInMo2, from Alexandria.

It has space group Pmmm (No. 47), with a = 3.0600 Å, b = 4.6171 Å, c = 7.4102 Å, α = 90.00°, β = 90.00° and γ = 90.00°. The asymmetric unit holds K at (0.0000, 0.0000, 0.0000), In at (0.0000, 0.0000, 0.5000) and Mo at (0.5000, 0.5000, 0.3533).

The calculation puts the calculated volume at 105 Å³/f.u. The calculation puts the calculated formation energy at 0.8481 eV per atom. For the final energy, the calculation gives -22.11 eV for the cell shown.



The following is a GGA-PBE calculation of an optimized crystal structure of PaAlCuAg, from Alexandria.

It has space group F-43m (No. 216), with a = 6.7367 Å, b = 6.7367 Å, c = 6.7367 Å, α = 90.00°, β = 90.00° and γ = 90.00°. The asymmetric unit holds Pa at (0.0000, 0.0000, 0.0000), Al at (0.0000, 0.0000, 0.5000), Cu at (0.2500, 0.2500, 0.7500) and Ag at (0.2500, 0.2500, 0.2500).

The calculation puts the calculated volume at 76 Å³/f.u. The calculation puts the calculated formation energy at -0.0091 eV per atom. For the final energy, the calculation gives -80.89 eV for the cell shown.